An optimized crystal structure of MnHSe2. Source: the Alexandria database, functional PBE-GGA.

The space group is No. 15.

Structure (POSCAR):
```
MnHSe2
1.0
-12.852 2.314 4.268
-3.712 -6.321 -2.142
2.859 -4.522 5.450
H Mn Se
8 8 16
Cartesian
-6.181 -1.214 1.824
-0.995 -7.157 3.217
-7.525 -7.316 5.753
-12.711 -1.373 4.359
-7.647 -3.749 0.314
-2.701 -4.084 0.492
-6.059 -4.781 7.262
-11.005 -4.446 7.084
-1.298 -1.729 1.995
-5.905 -6.975 3.148
-12.409 -6.800 5.581
-7.801 -1.555 4.429
-4.282 -3.134 3.049
-3.202 -9.139 3.182
-9.424 -5.395 4.527
-10.504 0.609 4.394
-1.580 -7.564 1.903
-5.603 -0.902 3.167
-12.126 -0.965 5.673
-8.103 -7.628 4.410
-9.736 -1.138 2.693
-10.360 -5.773 6.877
-3.970 -7.392 4.883
-3.346 -2.757 0.700
-7.859 -3.776 3.301
-15.479 -3.480 2.304
-5.847 -4.754 4.276
1.773 -5.050 5.273
-8.371 -2.571 6.550
-5.335 -5.958 1.026
-11.828 -5.653 3.420
-1.878 -2.877 4.156
```

=====

An optimized crystal structure of Mn2HSe. Source: the Alexandria database, functional PBE-GGA.

The space group is No. 166.

Structure (POSCAR):
```
Mn2HSe
1.0
-0.275 2.536 -1.279
-0.055 -2.394 -1.552
-16.859 -0.857 1.921
Mn H Se
6 3 3
Cartesian
-4.673 -0.238 0.533
-12.186 -0.620 1.389
-16.040 -1.560 0.353
-6.695 -1.085 -0.713
-10.494 0.369 -0.197
-1.148 0.844 -1.262
0.000 0.000 0.000
-11.368 -1.322 -0.180
-5.821 0.607 -0.730
-8.429 -0.429 0.961
-2.938 -0.894 -1.141
-14.251 0.178 0.231
```

=====

An optimized crystal structure of Mn2HSe. Source: the Alexandria database, functional PBE-GGA.

The space group is No. 1.

Structure (POSCAR):
```
Mn2HSe
1.0
3.018 -0.633 -0.315
0.628 3.031 -0.076
0.527 -0.031 5.307
Mn H Se
2 1 1
Cartesian
2.352 0.230 3.777
0.801 2.112 0.167
1.960 0.181 0.151
1.035 2.054 2.760
```

=====

An optimized crystal structure of Mn2H2Se. Source: the Alexandria database, functional PBE-GGA.

The space group is No. 139.

Structure (POSCAR):
```
Mn2H2Se
1.0
-0.050 -0.452 3.048
3.080 0.074 0.062
1.375 4.969 2.317
H Mn Se
2 2 1
Cartesian
1.420 2.165 3.460
2.985 2.427 1.967
1.474 1.333 1.780
2.931 3.259 3.647
0.000 0.000 0.000
```

=====

Spin magnetization
In order: 36.00, 0.01, 5.92, 5.93
Unit: Bohr magnetons per cell
E above lowest polymorph
In order: 73.4, 171.3, 17.2, 0.0
Unit: meV per atom